## LiAc2Mn2O6 (PBE+U)

Data for an optimized crystal structure of LiAc2Mn2O6.

Cell and atoms, written as POSCAR:
```
LiAc2Mn2O6
1.0
-4.725 -2.616 2.606
-4.558 -1.984 -3.354
-0.584 -6.524 -0.708
Li Ac Mn O
1 2 2 6
direct
0.000 0.000 0.000
0.799 0.799 0.602
0.201 0.201 0.398
0.412 0.412 0.763
0.588 0.588 0.237
0.754 0.754 0.280
0.213 0.754 0.280
0.754 0.213 0.280
0.246 0.787 0.720
0.787 0.246 0.720
0.246 0.246 0.720
```

Computed properties:
space group	No. 166
DFT total energy	-6.99	eV/atom
mass density	6.3	g/cm³
density of states at the Fermi level	5.5	states/eV/f.u.